Entry w
A relaxed structure of HoTh2In. Source: Alexandria via LeMat-Bulk, functional PBE.

a b c (Å): 4.718 4.693 11.476
angles (deg): 90.00 101.92 90.00
Sites, in units of the cell vectors:
Ho1 0.195 0.250 0.387
Ho2 0.805 0.750 0.613
Th1 0.062 0.750 0.123
Th2 0.439 0.750 0.878
Th3 0.561 0.250 0.122
Th4 0.938 0.250 0.877
In1 0.330 0.250 0.662
In2 0.670 0.750 0.338

Results
* symmetry: P2_1/m

---

Entry x
A relaxed structure of HoTh2In. Source: Alexandria via LeMat-Bulk, functional PBE.

a b c (Å): 6.050 5.729 6.882
angles (deg): 90.00 90.90 90.00
Sites, in units of the cell vectors:
Ho1 0.112 0.250 0.374
Ho2 0.888 0.750 0.626
Th1 0.089 0.250 0.868
Th2 0.398 0.750 0.888
Th3 0.602 0.250 0.112
Th4 0.911 0.750 0.132
In1 0.405 0.750 0.388
In2 0.595 0.250 0.612

Results
* symmetry: P2_1/m

---

Most stable structure - entry w; separation to the second - 5.8 kJ/mol of atoms.

---

Entry w
A relaxed structure of Ho4ThIn. Source: Alexandria via LeMat-Bulk, functional PBE.

a b c (Å): 3.569 3.569 14.119
angles (deg): 90.00 90.00 90.00
Sites, in units of the cell vectors:
Ho1 0.000 0.000 0.147
Ho2 0.000 0.000 0.853
Ho3 0.500 0.500 0.329
Ho4 0.500 0.500 0.671
Th1 0.000 0.000 0.500
In1 0.500 0.500 0.000

Results
* symmetry: P4/mmm

---

Entry x
A relaxed structure of Ho4ThIn. Source: Alexandria via LeMat-Bulk, functional PBE.

a b c (Å): 5.228 5.228 7.732
angles (deg): 90.00 90.00 90.00
Sites, in units of the cell vectors:
Ho1 0.000 0.500 0.239
Ho2 0.000 0.500 0.761
Ho3 0.500 0.000 0.239
Ho4 0.500 0.000 0.761
Th1 0.000 0.000 0.500
In1 0.500 0.500 0.000

Results
* symmetry: P4/mmm

---

Most stable structure - entry w; separation to the second - 53.5 kJ/mol of atoms.

---

Entry w
A relaxed structure of HoTiIn. Source: Alexandria via LeMat-Bulk, functional PBE.

a b c (Å): 4.260 4.260 8.057
angles (deg): 90.00 90.00 90.00
Sites, in units of the cell vectors:
Ho1 0.250 0.250 0.160
Ho2 0.750 0.750 0.840
Ti1 0.250 0.750 0.500
Ti2 0.750 0.250 0.500
In1 0.250 0.250 0.752
In2 0.750 0.750 0.248

Results
* symmetry: P4/nmm

---

Entry x
A relaxed structure of HoTiIn. Source: Alexandria via LeMat-Bulk, functional PBE.

a b c (Å): 8.617 8.617 8.617
angles (deg): 159.57 159.57 29.05
Sites, in units of the cell vectors:
Ho1 0.000 0.000 0.000
Ti1 0.820 0.820 0.000
In1 0.651 0.651 0.000

Results
* symmetry: I4mm

---

Most stable structure - entry w; separation to the second - 71.5 kJ/mol of atoms.

---

Entry w
A relaxed structure of Ho2TlIn2. Source: Alexandria via LeMat-Bulk, functional PBE.

a b c (Å): 7.653 7.653 4.629
angles (deg): 90.00 90.00 90.00
Sites, in units of the cell vectors:
Ho1 0.167 0.333 0.000
Ho2 0.333 0.833 0.000
Ho3 0.667 0.167 0.000
Ho4 0.833 0.667 0.000
Tl1 0.000 0.000 0.500
Tl2 0.500 0.500 0.500
In1 0.133 0.633 0.500
In2 0.367 0.133 0.500
In3 0.633 0.867 0.500
In4 0.867 0.367 0.500

Results
* symmetry: P4/mbm

---

Entry x
A relaxed structure of Ho2TlIn2. Source: Alexandria via LeMat-Bulk, functional PBE.

a b c (Å): 5.174 5.174 11.930
angles (deg): 90.00 90.00 120.00
Sites, in units of the cell vectors:
Ho1 0.000 0.000 0.000
Ho2 0.000 0.000 0.500
Ho3 0.333 0.667 0.250
Ho4 0.667 0.333 0.750
Tl1 0.000 0.000 0.250
Tl2 0.000 0.000 0.750
In1 0.333 0.667 0.589
In2 0.333 0.667 0.911
In3 0.667 0.333 0.089
In4 0.667 0.333 0.411

Results
* symmetry: P6_3/mmc

---

Most stable structure - entry w; separation to the second - 7.5 kJ/mol of atoms.

---

Entry w
A relaxed structure of Ho5Tl2In2. Source: Alexandria via LeMat-Bulk, functional PBE.

a b c (Å): 8.971 8.971 7.840
angles (deg): 90.00 90.00 54.88
Sites, in units of the cell vectors:
Ho1 0.000 0.000 0.000
Ho2 0.044 0.679 0.670
Ho3 0.179 0.544 0.170
Ho4 0.321 0.956 0.670
Ho5 0.456 0.821 0.170
Ho6 0.500 0.500 0.500
Ho7 0.544 0.179 0.830
Ho8 0.679 0.044 0.330
Ho9 0.821 0.456 0.830
Ho10 0.956 0.321 0.330
Tl1 0.130 0.870 0.370
Tl2 0.370 0.630 0.870
Tl3 0.630 0.370 0.130
Tl4 0.870 0.130 0.630
In1 0.210 0.210 0.000
In2 0.290 0.290 0.500
In3 0.710 0.710 0.500
In4 0.790 0.790 0.000

Results
* symmetry: Cmce

---

Entry x
A relaxed structure of Ho5Tl2In2. Source: Alexandria via LeMat-Bulk, functional PBE.

a b c (Å): 8.981 8.981 7.879
angles (deg): 90.00 90.00 54.15
Sites, in units of the cell vectors:
Ho1 0.000 0.000 0.000
Ho2 0.045 0.680 0.672
Ho3 0.180 0.545 0.172
Ho4 0.320 0.955 0.672
Ho5 0.455 0.820 0.172
Ho6 0.500 0.500 0.500
Ho7 0.545 0.180 0.828
Ho8 0.680 0.045 0.328
Ho9 0.820 0.455 0.828
Ho10 0.955 0.320 0.328
Tl1 0.212 0.212 0.000
Tl2 0.288 0.288 0.500
Tl3 0.712 0.712 0.500
Tl4 0.788 0.788 0.000
In1 0.126 0.874 0.374
In2 0.374 0.626 0.874
In3 0.626 0.374 0.126
In4 0.874 0.126 0.626

Results
* symmetry: Cmce

---

Most stable structure - entry x; separation to the second - 2.5 kJ/mol of atoms.

---

Entry w
A relaxed structure of Ho6Tl3In. Source: Alexandria via LeMat-Bulk, functional PBE.

a b c (Å): 11.762 3.658 14.084
angles (deg): 90.00 104.78 90.00
Sites, in units of the cell vectors:
Ho1 0.009 0.250 0.181
Ho2 0.113 0.750 0.408
Ho3 0.236 0.250 0.826
Ho4 0.313 0.250 0.255
Ho5 0.358 0.250 0.623
Ho6 0.375 0.750 0.035
Ho7 0.625 0.250 0.965
Ho8 0.642 0.750 0.377
Ho9 0.687 0.750 0.745
Ho10 0.764 0.750 0.174
Ho11 0.887 0.250 0.592
Ho12 0.991 0.750 0.819
Tl1 0.118 0.750 0.635
Tl2 0.142 0.250 0.015
Tl3 0.389 0.750 0.445
Tl4 0.611 0.250 0.555
Tl5 0.858 0.750 0.985
Tl6 0.882 0.250 0.365
In1 0.454 0.750 0.817
In2 0.546 0.250 0.183

Results
* symmetry: P2_1/m

---

Entry x
A relaxed structure of Ho6Tl3In. Source: Alexandria via LeMat-Bulk, functional PBE.

a b c (Å): 9.800 5.154 11.391
angles (deg): 90.00 103.91 90.00
Sites, in units of the cell vectors:
Ho1 0.053 0.250 0.408
Ho2 0.151 0.750 0.180
Ho3 0.260 0.250 0.994
Ho4 0.337 0.750 0.810
Ho5 0.371 0.250 0.314
Ho6 0.393 0.250 0.614
Ho7 0.607 0.750 0.386
Ho8 0.629 0.750 0.686
Ho9 0.663 0.250 0.190
Ho10 0.740 0.750 0.006
Ho11 0.849 0.250 0.820
Ho12 0.947 0.750 0.592
Tl1 0.031 0.750 0.890
Tl2 0.120 0.250 0.707
Tl3 0.285 0.750 0.468
Tl4 0.715 0.250 0.532
Tl5 0.880 0.750 0.293
Tl6 0.969 0.250 0.110
In1 0.444 0.750 0.116
In2 0.556 0.250 0.884

Results
* symmetry: P2_1/m

---

Most stable structure - entry x; separation to the second - 9.2 kJ/mol of atoms.

---

Entry w
A relaxed structure of Ho2TmIn2. Source: Alexandria via LeMat-Bulk, functional PBE.

a b c (Å): 5.998 5.998 5.998
angles (deg): 132.33 111.72 87.51
Sites, in units of the cell vectors:
Ho1 0.194 0.194 0.000
Ho2 0.806 0.806 0.000
Tm1 0.500 0.000 0.500
In1 0.214 0.500 0.714
In2 0.786 0.500 0.286

Results
* symmetry: Immm

---

Entry x
A relaxed structure of Ho2TmIn2. Source: Alexandria via LeMat-Bulk, functional PBE.

a b c (Å): 3.711 5.303 13.902
angles (deg): 90.00 97.69 90.00
Sites, in units of the cell vectors:
Ho1 0.047 0.250 0.095
Ho2 0.237 0.250 0.474
Ho3 0.763 0.750 0.526
Ho4 0.953 0.750 0.905
Tm1 0.150 0.750 0.301
Tm2 0.850 0.250 0.699
In1 0.358 0.750 0.714
In2 0.448 0.250 0.897
In3 0.552 0.750 0.103
In4 0.642 0.250 0.286

Results
* symmetry: P2_1/m

---

Most stable structure - entry x; separation to the second - 3.1 kJ/mol of atoms.

---

Entry w
A relaxed structure of Ho6TmIn2. Source: Alexandria via LeMat-Bulk, functional PBE.

a b c (Å): 6.578 6.578 11.836
angles (deg): 107.29 107.29 32.76
Sites, in units of the cell vectors:
Ho1 0.016 0.016 0.342
Ho2 0.311 0.311 0.415
Ho3 0.318 0.318 0.123
Ho4 0.682 0.682 0.877
Ho5 0.689 0.689 0.585
Ho6 0.984 0.984 0.658
Tm1 0.000 0.000 0.000
In1 0.357 0.357 0.797
In2 0.643 0.643 0.203

Results
* symmetry: C2/m

---

Entry x
A relaxed structure of Ho6TmIn2. Source: Alexandria via LeMat-Bulk, functional PBE.

a b c (Å): 8.732 8.732 8.732
angles (deg): 138.04 138.04 60.84
Sites, in units of the cell vectors:
Ho1 0.093 0.735 0.000
Ho2 0.250 0.750 0.500
Ho3 0.265 0.265 0.358
Ho4 0.735 0.093 0.000
Ho5 0.750 0.250 0.500
Ho6 0.907 0.907 0.642
Tm1 0.500 0.500 0.000
In1 0.287 0.287 0.000
In2 0.713 0.713 0.000

Results
* symmetry: I-42m

---

Most stable structure - entry w; separation to the second - 52.2 kJ/mol of atoms.

---

Entry w
A relaxed structure of Ho3TmIn. Source: Alexandria via LeMat-Bulk, functional PBE.

a b c (Å): 6.770 6.770 8.747
angles (deg): 90.00 90.00 128.76
Sites, in units of the cell vectors:
Ho1 0.062 0.938 0.750
Ho2 0.176 0.824 0.068
Ho3 0.176 0.824 0.432
Ho4 0.824 0.176 0.568
Ho5 0.824 0.176 0.932
Ho6 0.938 0.062 0.250
Tm1 0.427 0.573 0.250
Tm2 0.573 0.427 0.750
In1 0.321 0.679 0.750
In2 0.679 0.321 0.250

Results
* symmetry: Cmcm

---

Entry x
A relaxed structure of Ho3TmIn. Source: Alexandria via LeMat-Bulk, functional PBE.

a b c (Å): 12.654 12.654 4.787
angles (deg): 90.00 90.00 158.19
Sites, in units of the cell vectors:
Ho1 0.050 0.950 0.750
Ho2 0.250 0.750 0.750
Ho3 0.447 0.553 0.750
Ho4 0.553 0.447 0.250
Ho5 0.750 0.250 0.250
Ho6 0.950 0.050 0.250
Tm1 0.150 0.850 0.250
Tm2 0.850 0.150 0.750
In1 0.348 0.652 0.250
In2 0.652 0.348 0.750

Results
* symmetry: Cmcm

---

Most stable structure - entry x; separation to the second - 47.2 kJ/mol of atoms.

---

Entry w
A relaxed structure of Ho3TmIn2. Source: Alexandria via LeMat-Bulk, functional PBE.

a b c (Å): 5.137 9.766 6.678
angles (deg): 90.00 90.00 90.00
Sites, in units of the cell vectors:
Ho1 0.000 0.036 0.000
Ho2 0.000 0.319 0.354
Ho3 0.000 0.681 0.854
Ho4 0.000 0.964 0.500
Ho5 0.500 0.183 0.721
Ho6 0.500 0.817 0.221
Tm1 0.500 0.463 0.074
Tm2 0.500 0.537 0.574
In1 0.000 0.359 0.830
In2 0.000 0.641 0.330
In3 0.500 0.141 0.246
In4 0.500 0.859 0.746

Results
* symmetry: Pmc2_1

---

Entry x
A relaxed structure of Ho3TmIn2. Source: Alexandria via LeMat-Bulk, functional PBE.

a b c (Å): 9.837 9.837 9.837
angles (deg): 160.26 146.59 39.10
Sites, in units of the cell vectors:
Ho1 0.000 0.000 0.000
Ho2 0.314 0.814 0.500
Ho3 0.686 0.186 0.500
Tm1 0.500 0.000 0.500
In1 0.146 0.646 0.500
In2 0.854 0.354 0.500

Results
* symmetry: Immm

---

Most stable structure - entry w; separation to the second - 45.9 kJ/mol of atoms.

---

Entry w
A relaxed structure of Ho2Tm5In. Source: Alexandria via LeMat-Bulk, functional PBE.

a b c (Å): 5.942 9.062 9.382
angles (deg): 104.34 104.64 91.87
Sites, in units of the cell vectors:
Ho1 0.000 0.000 0.000
Ho2 0.109 0.382 0.254
Ho3 0.460 0.872 0.238
Ho4 0.634 0.571 0.376
Tm1 0.058 0.056 0.378
Tm2 0.178 0.754 0.513
Tm3 0.264 0.122 0.770
Tm4 0.337 0.436 0.638
Tm5 0.469 0.803 0.879
Tm6 0.563 0.196 0.144
Tm7 0.712 0.956 0.619
Tm8 0.811 0.318 0.880
Tm9 0.913 0.683 0.127
Tm10 0.914 0.630 0.753
In1 0.356 0.496 0.003
In2 0.736 0.275 0.515

Results
* symmetry: P1

---

Entry x
A relaxed structure of Ho2Tm5In. Source: Alexandria via LeMat-Bulk, functional PBE.

a b c (Å): 6.463 6.463 15.259
angles (deg): 90.00 90.00 131.14
Sites, in units of the cell vectors:
Ho1 0.220 0.780 0.634
Ho2 0.220 0.780 0.866
Ho3 0.780 0.220 0.134
Ho4 0.780 0.220 0.366
Tm1 0.085 0.915 0.088
Tm2 0.085 0.915 0.412
Tm3 0.390 0.610 0.053
Tm4 0.390 0.610 0.447
Tm5 0.473 0.527 0.750
Tm6 0.527 0.473 0.250
Tm7 0.610 0.390 0.553
Tm8 0.610 0.390 0.947
Tm9 0.915 0.085 0.588
Tm10 0.915 0.085 0.912
In1 0.250 0.750 0.250
In2 0.750 0.250 0.750

Results
* symmetry: Cmcm

---

Most stable structure - entry w; separation to the second - 1.6 kJ/mol of atoms.